VASP calculation (GGA+U) on a relaxed structure of LiLa2VO6.

abc: 5.467 5.467 5.467
angles: 60.00 60.00 60.00
Fractional positions:
O 0.243 0.757 0.243
O 0.757 0.243 0.757
La 0.250 0.250 0.250
Li 0.500 0.500 0.500
La 0.750 0.750 0.750
O 0.243 0.757 0.757
O 0.757 0.243 0.243
O 0.757 0.757 0.243
V 0.000 0.000 0.000
O 0.243 0.243 0.757

Results
spin magnetization	0.00	μB per formula unit
DFT total energy	-7.624	eV per atom